Arrangement one

# LaHfTiSb PBE-GGA optimized geometry
data_LaHfTiSb
_space_group_name_H-M_alt 'P 1'
_space_group_IT_number 1
_cell_length_a 4.953
_cell_length_b 3.928
_cell_length_c 10.167
_cell_angle_alpha 90.00
_cell_angle_beta 109.19
_cell_angle_gamma 90.00
loop_
_space_group_symop_operation_xyz
'x,y,z'
loop_
_atom_site_label
_atom_site_fract_x
_atom_site_fract_y
_atom_site_fract_z
La1 0.095 0.000 0.071
Sb1 0.751 0.000 0.311
Hf1 0.292 0.000 0.832
Sb2 0.751 0.500 0.811
Ti1 0.609 0.000 0.589
La2 0.095 0.500 0.571
Ti2 0.609 0.500 0.089
Hf2 0.292 0.500 0.332
# **Symmetry**: No. 8

Arrangement two

# LaHfTiSb PBE-GGA optimized geometry
data_LaHfTiSb
_space_group_name_H-M_alt 'P 1'
_space_group_IT_number 1
_cell_length_a 5.635
_cell_length_b 3.389
_cell_length_c 10.254
_cell_angle_alpha 90.00
_cell_angle_beta 103.97
_cell_angle_gamma 90.00
loop_
_space_group_symop_operation_xyz
'x,y,z'
loop_
_atom_site_label
_atom_site_fract_x
_atom_site_fract_y
_atom_site_fract_z
Hf1 0.240 0.500 0.484
Ti1 0.663 0.000 0.462
La1 0.942 0.500 0.719
Ti2 0.663 0.500 0.962
Sb1 0.449 0.500 0.231
Hf2 0.240 0.000 0.984
La2 0.942 0.000 0.219
Sb2 0.449 0.000 0.731
# **Symmetry**: No. 8

If you had to bet on the most stable structure above, which would it be? Bet on arrangement two.